Entry 1:
The following is a DFT calculation (PBE) of crystalline Tl2ReW at its relaxed geometry.

Cell lengths 5.607, 5.607, 5.340 Å; angles 67.04, 67.04, 33.61 degrees
Element x y z (fractional)
1 Re 0.793 0.793 0.771
2 Tl 0.229 0.229 0.308
3 Tl 0.021 0.021 0.939
4 W 0.456 0.456 0.482

Computed properties:
The value obtained for the formation energy is 933 meV/atom. For the energy above the lowest structure with this stoichiometry, the calculation gives 1.57 eV per formula unit. The calculation puts the total energy at -26.4 eV/f.u.



Entry 2:
The following is a DFT calculation (PBE) of crystalline ZnSnRu at its relaxed geometry.

Cell lengths 2.810, 2.810, 7.894 Å; angles 100.25, 100.25, 90.00 degrees
Element x y z (fractional)
1 Zn 0.782 0.782 0.564
2 Ru 0.946 0.946 0.892
3 Sn 0.122 0.122 0.244

Computed properties:
The value obtained for the formation energy is 765 meV/atom. The calculation puts the total energy at -12.3 eV/f.u.



Entry 3:
The following is a DFT calculation (PBE) of crystalline Hf3TaRu2 at its relaxed geometry.

Cell lengths 3.243, 3.243, 10.298 Å; angles 90.00, 90.00, 90.00 degrees
Element x y z (fractional)
1 Ru 0.500 0.500 0.157
2 Ru 0.500 0.500 0.843
3 Hf 0.000 0.000 0.000
4 Hf 0.000 0.000 0.315
5 Hf 0.000 0.000 0.685
6 Ta 0.500 0.500 0.500

Computed properties:
The value obtained for the formation energy is -500 meV/atom. The calculation puts the total energy at -63.3 eV/f.u.



Entry 4:
The following is a DFT calculation (PBE) of crystalline SrScIn at its relaxed geometry.

Cell lengths 6.294, 6.671, 6.283 Å; angles 90.00, 60.05, 58.00 degrees
Element x y z (fractional)
1 Sc 0.305 0.629 0.343
2 Sc 0.305 0.629 0.843
3 In 0.805 0.129 0.843
4 In 0.805 0.629 0.843
5 Sr 0.548 0.008 0.472
6 Sr 0.062 0.251 0.215

Computed properties:
The value obtained for the formation energy is -264 meV/atom. For the energy above the lowest structure with this stoichiometry, the calculation gives 0.15 eV per formula unit. The calculation puts the total energy at -11.5 eV/f.u.